Record 1
# MnOs2 | Alexandria | PBE | relaxed
# - E (eV for the cell shown) = -126.7
data_MnOs2
_cell_length_a 2.698
_cell_length_b 13.900
_cell_length_c 4.240
_cell_angle_alpha 90.00
_cell_angle_beta 90.00
_cell_angle_gamma 90.00
_space_group_name_H-M_alt 'C m c m'
_space_group_IT_number 63
_space_group_name_Hall '-C 2c 2'
loop_
_atom_site_label
_atom_site_fract_x
_atom_site_fract_y
_atom_site_fract_z
Mn1 0.000 0.110 0.250
Os1 0.000 0.221 0.750
Os2 0.000 0.445 0.250

Record 2
# MnOs2 | Alexandria | PBE | relaxed
# - E (eV for the cell shown) = -28.9
data_MnOs2
_cell_length_a 4.168
_cell_length_b 4.168
_cell_length_c 2.641
_cell_angle_alpha 90.00
_cell_angle_beta 90.00
_cell_angle_gamma 90.00
_space_group_name_H-M_alt 'P 4/m m m'
_space_group_IT_number 123
_space_group_name_Hall '-P 4 2'
loop_
_atom_site_label
_atom_site_fract_x
_atom_site_fract_y
_atom_site_fract_z
Mn1 0.000 0.000 0.000
Os1 0.000 0.500 0.500

Record 3
# Mn2Os | Alexandria | PBE | relaxed
# - E (eV for the cell shown) = -117.9
data_Mn2Os
_cell_length_a 9.411
_cell_length_b 2.626
_cell_length_c 6.098
_cell_angle_alpha 90.00
_cell_angle_beta 103.78
_cell_angle_gamma 90.00
_space_group_name_H-M_alt 'C 1 m 1'
_space_group_IT_number 8
_space_group_name_Hall 'C -2y'
loop_
_atom_site_label
_atom_site_fract_x
_atom_site_fract_y
_atom_site_fract_z
Mn1 0.000 0.000 0.000
Mn2 0.059 0.000 0.612
Mn3 0.168 0.500 0.342
Mn4 0.338 0.000 0.669
Os1 0.220 0.500 0.940
Os2 0.394 0.000 0.287

Record 4
# Mn3Os | Alexandria | PBE | relaxed
# - E (eV for the cell shown) = -76.9
data_Mn3Os
_cell_length_a 8.531
_cell_length_b 2.602
_cell_length_c 4.435
_cell_angle_alpha 90.00
_cell_angle_beta 100.53
_cell_angle_gamma 90.00
_space_group_name_H-M_alt 'C 1 2/m 1'
_space_group_IT_number 12
_space_group_name_Hall '-C 2y'
loop_
_atom_site_label
_atom_site_fract_x
_atom_site_fract_y
_atom_site_fract_z
Mn1 0.000 0.000 0.000
Mn2 0.247 0.500 0.240
Os1 0.000 0.500 0.500

Record 5
# Mn3Os4 | Alexandria | PBE | relaxed
# - E (eV for the cell shown) = -71.1
data_Mn3Os4
_cell_length_a 4.6313
_cell_length_b 4.6313
_cell_length_c 4.8753
_cell_angle_alpha 90.00
_cell_angle_beta 90.00
_cell_angle_gamma 120.00
_space_group_name_H-M_alt 'P 6/m m m'
_space_group_IT_number 191
_space_group_name_Hall '-P 6 2'
loop_
_atom_site_label
_atom_site_fract_x
_atom_site_fract_y
_atom_site_fract_z
Mn1 0.0000 0.5000 0.0000
Os1 0.0000 0.0000 0.2517
Os2 0.3333 0.6667 0.5000

Record 6
# Mn4Os5 | Alexandria | PBE | relaxed
# - E (eV for the cell shown) = -183.2
data_Mn4Os5
_cell_length_a 7.2135
_cell_length_b 7.2135
_cell_length_c 5.2563
_cell_angle_alpha 90.00
_cell_angle_beta 90.00
_cell_angle_gamma 120.00
_space_group_name_H-M_alt 'P 63/m c m'
_space_group_IT_number 193
_space_group_name_Hall '-P 6c 2'
loop_
_atom_site_label
_atom_site_fract_x
_atom_site_fract_y
_atom_site_fract_z
Mn1 0.0000 0.0000 0.0000
Mn2 0.0000 0.3367 0.2500
Os1 0.0000 0.3251 0.7500
Os2 0.3333 0.6667 0.0000

Record 7
# MnOs5 | Alexandria | PBE | relaxed
# - E (eV for the cell shown) = -242.4
data_MnOs5
_cell_length_a 7.194
_cell_length_b 7.194
_cell_length_c 7.194
_cell_angle_alpha 90.00
_cell_angle_beta 90.00
_cell_angle_gamma 90.00
_space_group_name_H-M_alt 'F -4 3 m'
_space_group_IT_number 216
_space_group_name_Hall 'F -4 2 3'
loop_
_atom_site_label
_atom_site_fract_x
_atom_site_fract_y
_atom_site_fract_z
Mn1 0.000 0.000 0.000
Os1 0.125 0.125 0.375
Os2 0.250 0.250 0.750

Record 8
# MnOs | Alexandria | PBE | relaxed
# - E (eV for the cell shown) = -315.2
data_MnOs
_cell_length_a 3.933
_cell_length_b 7.235
_cell_length_c 15.458
_cell_angle_alpha 90.00
_cell_angle_beta 90.00
_cell_angle_gamma 90.00
_space_group_name_H-M_alt 'F d d d'
_space_group_IT_number 70
loop_
_space_group_symop_operation_xyz
'x,y,z'
'-x,-y,-z'
'-x+1/4,-y+1/4,z'
'x+1/4,y+1/4,-z'
'x,-y+1/4,-z+1/4'
'-x,y+1/4,z+1/4'
'-x+1/4,y,-z+1/4'
'x+1/4,-y,z+1/4'
'x,y+1/2,z+1/2'
'-x,-y+1/2,-z+1/2'
'-x+1/4,-y+3/4,z+1/2'
'x+1/4,y+3/4,-z+1/2'
'x,-y+3/4,-z+3/4'
'-x,y+3/4,z+3/4'
'-x+1/4,y+1/2,-z+3/4'
'x+1/4,-y+1/2,z+3/4'
'x+1/2,y,z+1/2'
'-x+1/2,-y,-z+1/2'
'-x+3/4,-y+1/4,z+1/2'
'x+3/4,y+1/4,-z+1/2'
'x+1/2,-y+1/4,-z+3/4'
'-x+1/2,y+1/4,z+3/4'
'-x+3/4,y,-z+3/4'
'x+3/4,-y,z+3/4'
'x+1/2,y+1/2,z'
'-x+1/2,-y+1/2,-z'
'-x+3/4,-y+3/4,z'
'x+3/4,y+3/4,-z'
'x+1/2,-y+3/4,-z+1/4'
'-x+1/2,y+3/4,z+1/4'
'-x+3/4,y+1/2,-z+1/4'
'x+3/4,-y+1/2,z+1/4'
loop_
_atom_site_label
_atom_site_fract_x
_atom_site_fract_y
_atom_site_fract_z
Mn1 0.125 0.289 0.125
Os1 0.125 0.125 0.544

Record 9
# Mn5Os3 | Alexandria | PBE | relaxed
# - E (eV for the cell shown) = -310.1
data_Mn5Os3
_cell_length_a 4.770
_cell_length_b 12.668
_cell_length_c 7.506
_cell_angle_alpha 90.00
_cell_angle_beta 108.51
_cell_angle_gamma 90.00
_space_group_name_H-M_alt 'C 1 2 1'
_space_group_IT_number 5
_space_group_name_Hall 'C 2y'
loop_
_atom_site_label
_atom_site_fract_x
_atom_site_fract_y
_atom_site_fract_z
Mn1 0.088 0.000 0.177
Mn2 0.106 0.346 0.211
Mn3 0.141 0.606 0.283
Mn4 0.190 0.806 0.379
Mn5 0.224 0.174 0.000
Os1 0.000 0.478 0.500
Os2 0.000 0.501 0.000
Os3 0.000 0.834 0.000
Os4 0.000 0.977 0.500
Os5 0.184 0.171 0.370

Record 10
# MnOs | Alexandria | PBE | relaxed
# - E (eV for the cell shown) = -73.8
data_MnOs
_cell_length_a 4.930
_cell_length_b 4.930
_cell_length_c 4.895
_cell_angle_alpha 90.00
_cell_angle_beta 90.00
_cell_angle_gamma 90.00
_space_group_name_H-M_alt 'P 42/m n m'
_space_group_IT_number 136
_space_group_name_Hall '-P 4n 2n'
loop_
_atom_site_label
_atom_site_fract_x
_atom_site_fract_y
_atom_site_fract_z
Mn1 0.187 0.187 0.000
Os1 0.187 0.187 0.500

Record 11
# Mn3Os | Alexandria | PBE | relaxed
# - E (eV for the cell shown) = -77.5
data_Mn3Os
_cell_length_a 3.693
_cell_length_b 3.693
_cell_length_c 7.227
_cell_angle_alpha 90.00
_cell_angle_beta 90.00
_cell_angle_gamma 90.00
_space_group_name_H-M_alt 'I 4/m m m'
_space_group_IT_number 139
_space_group_name_Hall '-I 4 2'
loop_
_atom_site_label
_atom_site_fract_x
_atom_site_fract_y
_atom_site_fract_z
Mn1 0.000 0.000 0.000
Mn2 0.000 0.500 0.250
Os1 0.000 0.000 0.500

Record 12
# Mn3Os | Alexandria | PBE | relaxed
# - E (eV for the cell shown) = -75.5
data_Mn3Os
_cell_length_a 4.500
_cell_length_b 4.033
_cell_length_c 5.393
_cell_angle_alpha 90.00
_cell_angle_beta 90.00
_cell_angle_gamma 90.00
_space_group_name_H-M_alt 'P m m a'
_space_group_IT_number 51
_space_group_name_Hall '-P 2a 2a'
loop_
_atom_site_label
_atom_site_fract_x
_atom_site_fract_y
_atom_site_fract_z
Mn1 0.000 0.000 0.000
Mn2 0.250 0.000 0.406
Mn3 0.250 0.500 0.133
Os1 0.250 0.500 0.665

Record 13
# Mn3Os | Alexandria | PBE | relaxed
# - E (eV for the cell shown) = -38.4
data_Mn3Os
_cell_length_a 3.622
_cell_length_b 3.622
_cell_length_c 3.622
_cell_angle_alpha 90.00
_cell_angle_beta 90.00
_cell_angle_gamma 90.00
_space_group_name_H-M_alt 'P m -3 m'
_space_group_IT_number 221
_space_group_name_Hall '-P 4 2 3'
loop_
_atom_site_label
_atom_site_fract_x
_atom_site_fract_y
_atom_site_fract_z
Mn1 0.000 0.000 0.500
Os1 0.500 0.500 0.500

Record 14
# MnOs2 | Alexandria | PBE | relaxed
# - E (eV for the cell shown) = -31.2
data_MnOs2
_cell_length_a 2.6904
_cell_length_b 2.6904
_cell_length_c 6.4577
_cell_angle_alpha 90.00
_cell_angle_beta 90.00
_cell_angle_gamma 120.00
_space_group_name_H-M_alt 'P -3 m 1'
_space_group_IT_number 164
_space_group_name_Hall '-P 3 2"'
loop_
_atom_site_label
_atom_site_fract_x
_atom_site_fract_y
_atom_site_fract_z
Mn1 0.0000 0.0000 0.0000
Os1 0.3333 0.6667 0.3227

Record 15
# Mn6Os | Alexandria | PBE | relaxed
# - E (eV for the cell shown) = -260.4
data_Mn6Os
_cell_length_a 7.402
_cell_length_b 4.593
_cell_length_c 9.770
_cell_angle_alpha 90.00
_cell_angle_beta 90.00
_cell_angle_gamma 90.00
_space_group_name_H-M_alt 'P n m a'
_space_group_IT_number 62
_space_group_name_Hall '-P 2ac 2n'
loop_
_atom_site_label
_atom_site_fract_x
_atom_site_fract_y
_atom_site_fract_z
Mn1 0.050 0.250 0.072
Mn2 0.087 0.509 0.312
Mn3 0.091 0.750 0.517
Mn4 0.113 0.250 0.845
Mn5 0.182 0.750 0.740
Os1 0.243 0.250 0.582

Record 16
# MnOs2 | Alexandria | PBE | relaxed
# - E (eV for the cell shown) = -113.3
data_MnOs2
_cell_length_a 5.739
_cell_length_b 5.739
_cell_length_c 5.739
_cell_angle_alpha 90.00
_cell_angle_beta 90.00
_cell_angle_gamma 90.00
_space_group_name_H-M_alt 'P a -3'
_space_group_IT_number 205
_space_group_name_Hall '-P 2ac 2ab 3'
loop_
_atom_site_label
_atom_site_fract_x
_atom_site_fract_y
_atom_site_fract_z
Mn1 0.000 0.000 0.000
Os1 0.118 0.618 0.882

Record 17
# MnOs | Alexandria | PBE | relaxed
# - E (eV for the cell shown) = -81.0
data_MnOs
_cell_length_a 3.710
_cell_length_b 3.710
_cell_length_c 7.455
_cell_angle_alpha 90.00
_cell_angle_beta 90.00
_cell_angle_gamma 90.00
_space_group_name_H-M_alt 'I 41/a m d'
_space_group_IT_number 141
loop_
_space_group_symop_operation_xyz
'x,y,z'
'-x,-y,-z'
'-y+1/4,x+3/4,z+1/4'
'y+1/4,-x+3/4,-z+1/4'
'-x+1/2,-y,z+1/2'
'x+1/2,y,-z+1/2'
'y+1/4,-x+1/4,z+3/4'
'-y+1/4,x+1/4,-z+3/4'
'x,-y,-z'
'-x,y,z'
'-y+1/4,-x+1/4,-z+3/4'
'y+1/4,x+1/4,z+3/4'
'-x+1/2,y,-z+1/2'
'x+1/2,-y,z+1/2'
'y+1/4,x+3/4,-z+1/4'
'-y+1/4,-x+3/4,z+1/4'
'x+1/2,y+1/2,z+1/2'
'-x+1/2,-y+1/2,-z+1/2'
'-y+3/4,x+1/4,z+3/4'
'y+3/4,-x+1/4,-z+3/4'
'-x,-y+1/2,z'
'x,y+1/2,-z'
'y+3/4,-x+3/4,z+1/4'
'-y+3/4,x+3/4,-z+1/4'
'x+1/2,-y+1/2,-z+1/2'
'-x+1/2,y+1/2,z+1/2'
'-y+3/4,-x+3/4,-z+1/4'
'y+3/4,x+3/4,z+1/4'
'-x,y+1/2,-z'
'x,-y+1/2,z'
'y+3/4,x+1/4,-z+3/4'
'-y+3/4,-x+1/4,z+3/4'
loop_
_atom_site_label
_atom_site_fract_x
_atom_site_fract_y
_atom_site_fract_z
Mn1 0.000 0.250 0.375
Os1 0.000 0.250 0.875

Record 18
# Mn2POs | Alexandria | PBE | relaxed
# - E (eV for the cell shown) = -69.8
data_Mn2POs
_cell_length_a 3.562
_cell_length_b 3.562
_cell_length_c 7.598
_cell_angle_alpha 90.00
_cell_angle_beta 90.00
_cell_angle_gamma 90.00
_space_group_name_H-M_alt 'I 4/m m m'
_space_group_IT_number 139
_space_group_name_Hall '-I 4 2'
loop_
_atom_site_label
_atom_site_fract_x
_atom_site_fract_y
_atom_site_fract_z
Mn1 0.000 0.500 0.250
P1 0.000 0.000 0.000
Os1 0.000 0.000 0.500

Record 19
# Mn2POs | Alexandria | PBE | relaxed
# - E (eV for the cell shown) = -129.3
data_Mn2POs
_cell_length_a 5.196
_cell_length_b 5.196
_cell_length_c 10.148
_cell_angle_alpha 90.00
_cell_angle_beta 90.00
_cell_angle_gamma 90.00
_space_group_name_H-M_alt 'I -4 2 d'
_space_group_IT_number 122
_space_group_name_Hall 'I -4 2bw'
loop_
_atom_site_label
_atom_site_fract_x
_atom_site_fract_y
_atom_site_fract_z
Mn1 0.236 0.250 0.125
P1 0.000 0.000 0.000
Os1 0.000 0.000 0.500

Record 20
# Mn2POs | Alexandria | PBE | relaxed
# - E (eV for the cell shown) = -67.7
data_Mn2POs
_cell_length_a 2.962
_cell_length_b 4.635
_cell_length_c 7.694
_cell_angle_alpha 90.00
_cell_angle_beta 90.00
_cell_angle_gamma 90.00
_space_group_name_H-M_alt 'C m m 2'
_space_group_IT_number 35
_space_group_name_Hall 'C 2 -2'
loop_
_atom_site_label
_atom_site_fract_x
_atom_site_fract_y
_atom_site_fract_z
Mn1 0.000 0.000 0.000
Mn2 0.000 0.500 0.264
P1 0.000 0.000 0.476
Os1 0.000 0.500 0.717

| no. | ΔE_f (eV per atom) |
| --- | --- |
| 1 | -0.02 |
| 2 | 0.91 |
| 3 | 0.03 |
| 4 | 0.08 |
| 5 | 0.18 |
| 6 | 0.13 |
| 7 | 0.78 |
| 8 | 0.35 |
| 9 | 0.25 |
| 10 | 0.98 |
| 11 | 0.00 |
| 12 | 0.25 |
| 13 | 0.08 |
| 14 | 0.14 |
| 15 | 0.16 |
| 16 | 1.10 |
| 17 | 0.08 |
| 18 | 0.01 |
| 19 | 0.67 |
| 20 | 0.28 |